1.
## Rb4Pr3NpSe8 (PBE-GGA)

Data for Rb4Pr3NpSe8 after structural relaxation.

Properties
Space group: No. 166

Unit cell a=8.7887 b=9.4920 c=8.7896 alpha=117.61 beta=120.00 gamma=90.00
Last column: nearest neighbours and their distance in Å.
Fractional coordinates of all 16 atoms:
Rb 0.5000 0.0000 0.0000  6 Se 3.52-3.53
Rb 0.5000 0.0000 0.5000  6 Se 3.48
Rb 0.0000 0.0000 0.0000  6 Se 3.48
Rb 0.0000 0.0000 0.5000  6 Se 3.48
Pr 0.5000 0.5000 0.0000  6 Se 3.02
Pr 0.5000 0.5000 0.5000  6 Se 3.02
Pr 0.0000 0.5000 0.5000  6 Se 3.02
Np 0.0000 0.5000 0.0000  6 Se 2.97
Se 0.2307 0.6998 0.9693  1 Np 2.97, 2 Pr 3.02
Se 0.2308 0.6998 0.4616  1 Np 2.97, 2 Pr 3.02
Se 0.2654 0.2966 0.5309  3 Pr 3.02
Se 0.7386 0.6998 0.9693  1 Np 2.97, 2 Pr 3.02
Se 0.2614 0.3002 0.0307  1 Np 2.97, 2 Pr 3.02
Se 0.7346 0.7034 0.4691  3 Pr 3.02
Se 0.7692 0.3002 0.5384  1 Np 2.97, 2 Pr 3.02
Se 0.7693 0.3002 0.0307  1 Np 2.97, 2 Pr 3.02


2.
## Rb2PrNpSe4 (PBE-GGA)

Data for Rb2PrNpSe4 after structural relaxation.

Properties
Space group: No. 10

Unit cell a=4.3719 b=7.5599 c=8.3982 alpha=107.56 beta=90.00 gamma=90.00
Last column: nearest neighbours and their distance in Å.
Fractional coordinates of all 8 atoms:
Rb 0.5000 0.0000 0.5000  6 Se 3.50-3.52
Rb 0.0000 0.5000 0.5000  6 Se 3.46-3.47
Pr 0.0000 0.0000 0.0000  6 Se 3.01-3.02
Np 0.5000 0.5000 0.0000  6 Se 2.95-2.96
Se 0.5000 0.2390 0.2015  1 Np 2.96, 2 Pr 3.01
Se 0.5000 0.7610 0.7985  1 Np 2.96, 2 Pr 3.01
Se 0.0000 0.2743 0.8032  2 Np 2.95, 1 Pr 3.02
Se 0.0000 0.7257 0.1968  2 Np 2.95, 1 Pr 3.02


3.
## Rb3PrNp2Se6 (PBE-GGA)

Data for Rb3PrNp2Se6 after structural relaxation.

Properties
Space group: No. 12

Unit cell a=7.5186 b=7.5186 c=8.3900 alpha=98.59 beta=98.59 gamma=120.00
Last column: nearest neighbours and their distance in Å.
Fractional coordinates of all 12 atoms:
Rb 0.1649 0.8351 0.5000  6 Se 3.45-3.50
Rb 0.8351 0.1649 0.5000  6 Se 3.45-3.50
Rb 0.5000 0.5000 0.5000  6 Se 3.44-3.50
Pr 0.0000 0.0000 0.0000  6 Se 3.01-3.02
Np 0.3332 0.6668 0.0000  6 Se 2.94
Np 0.6668 0.3332 0.0000  6 Se 2.94
Se 0.9338 0.5928 0.8016  2 Np 2.94, 1 Pr 3.02
Se 0.7249 0.7249 0.1979  2 Np 2.94, 1 Pr 3.01
Se 0.0662 0.4072 0.1984  2 Np 2.94, 1 Pr 3.02
Se 0.5928 0.9338 0.8016  2 Np 2.94, 1 Pr 3.02
Se 0.2751 0.2751 0.8021  2 Np 2.94, 1 Pr 3.01
Se 0.4072 0.0662 0.1984  2 Np 2.94, 1 Pr 3.02


4.
## Rb2Pr2NpSe6 (PBE-GGA)

Data for Rb2Pr2NpSe6 after structural relaxation.

Properties
Space group: No. 12

Unit cell a=7.4578 b=7.4578 c=8.5649 alpha=98.61 beta=98.61 gamma=119.64
Last column: nearest neighbours and their distance in Å.
Fractional coordinates of all 11 atoms:
Rb 0.8297 0.1703 0.0000  6 Se 3.50-3.56
Rb 0.1703 0.8297 0.0000  6 Se 3.50-3.56
Pr 0.3337 0.6663 0.5000  6 Se 3.00-3.01
Pr 0.6663 0.3337 0.5000  6 Se 3.00-3.01
Np 0.0000 0.0000 0.5000  6 Se 2.85-2.86
Se 0.7502 0.7502 0.6937  1 Np 2.85, 2 Pr 3.00
Se 0.0653 0.3850 0.6944  1 Np 2.86, 2 Pr 3.00-3.01
Se 0.2498 0.2498 0.3063  1 Np 2.85, 2 Pr 3.00
Se 0.3850 0.0653 0.6944  1 Np 2.86, 2 Pr 3.00-3.01
Se 0.9347 0.6150 0.3056  1 Np 2.86, 2 Pr 3.00-3.01
Se 0.6150 0.9347 0.3056  1 Np 2.86, 2 Pr 3.00-3.01


5.
## Rb3PrNp3Se8 (PBE-GGA)

Data for Rb3PrNp3Se8 after structural relaxation.

Properties
Space group: No. 166

Unit cell a=8.5400 b=8.5435 c=9.4651 alpha=116.86 beta=90.00 gamma=119.99
Last column: nearest neighbours and their distance in Å.
Fractional coordinates of all 15 atoms:
Rb 0.0000 0.0000 0.0000  6 Se 3.50-3.52
Rb 0.0000 0.5000 0.0000  6 Se 3.50-3.52
Rb 0.5000 0.5000 0.0000  6 Se 3.50-3.52
Pr 0.0000 0.0000 0.5000  6 Se 2.99
Np 0.5000 0.0000 0.5000  6 Se 2.89-2.92
Np 0.5000 0.5000 0.5000  6 Se 2.89-2.91
Np 0.0000 0.5000 0.5000  6 Se 2.89-2.91
Se 0.2691 0.5382 0.3076  3 Np 2.91-2.92
Se 0.7309 0.4618 0.6924  3 Np 2.91-2.92
Se 0.7628 0.5257 0.3054  2 Np 2.89, 1 Pr 2.99
Se 0.2372 0.4743 0.6946  2 Np 2.89, 1 Pr 2.99
Se 0.7630 0.0422 0.3054  2 Np 2.89, 1 Pr 2.99
Se 0.2370 0.9578 0.6946  2 Np 2.89, 1 Pr 2.99
Se 0.2792 0.0422 0.3054  2 Np 2.89, 1 Pr 2.99
Se 0.7208 0.9578 0.6946  2 Np 2.89, 1 Pr 2.99


6.
## Rb2PrNpTe4 (PBE-GGA)

Data for Rb2PrNpTe4 after structural relaxation.

Properties
Space group: No. 10

Unit cell a=4.6436 b=8.0645 c=8.9519 alpha=107.46 beta=90.00 gamma=90.00
Last column: nearest neighbours and their distance in Å.
Fractional coordinates of all 8 atoms:
Rb 0.5000 0.0000 0.5000  6 Te 3.67-3.68
Rb 0.0000 0.5000 0.5000  6 Te 3.70-3.72
Pr 0.5000 0.5000 0.0000  6 Te 3.22
Np 0.0000 0.0000 0.0000  6 Te 3.17-3.18
Te 0.5000 0.2289 0.2011  2 Np 3.17, 1 Pr 3.22
Te 0.5000 0.7711 0.7989  2 Np 3.17, 1 Pr 3.22
Te 0.0000 0.2610 0.7947  1 Np 3.18, 2 Pr 3.22
Te 0.0000 0.7390 0.2053  1 Np 3.18, 2 Pr 3.22


| no. | formation energy from raw total energies (eV/atom) | raw total energy (eV/atom) | magnetic moment (μB per formula unit) |
| --- | --- | --- | --- |
| 1 | -1.599 | -5.289 | 4.00 |
| 2 | -1.474 | -5.673 | 4.00 |
| 3 | -1.394 | -5.933 | 8.00 |
| 4 | -1.551 | -5.673 | 3.00 |
| 5 | -1.354 | -6.312 | 11.00 |
| 6 | -1.140 | -5.168 | 4.00 |